An optimized crystal structure of CeEr2AlC. Source: Alexandria, functional PBE-GGA.

Cell and atoms, written as POSCAR:
```
CeEr2AlC
1.0
4.851 0.000 0.000
0.000 4.863 0.000
0.000 0.000 4.863
Ce Er Al C
1 2 1 1
Direct
0.500 0.000 0.000 Ce
0.000 0.000 0.500 Er
0.000 0.500 0.000 Er
0.500 0.500 0.500 Al
0.000 0.000 0.000 C
```

Final energy   -29.72 eV per formula unit
Magnetic moment   0.3 μB per cell

An optimized crystal structure of Ce2ErAlC. Source: Alexandria, functional PBE-GGA.

Cell and atoms, written as POSCAR:
```
Ce2ErAlC
1.0
4.879 0.000 0.000
0.000 4.907 0.000
0.000 0.000 4.907
Ce Er Al C
2 1 1 1
Direct
0.000 0.000 0.500 Ce
0.000 0.500 0.000 Ce
0.500 0.000 0.000 Er
0.500 0.500 0.500 Al
0.000 0.000 0.000 C
```

Final energy   -30.73 eV per formula unit
Magnetic moment   0.9 μB per cell

An optimized crystal structure of CeAlFe2C. Source: Alexandria, functional PBE-GGA.

Cell and atoms, written as POSCAR:
```
CeAlFe2C
1.0
4.033 0.000 0.000
-2.017 5.375 0.000
0.000 0.000 6.677
Ce Al Fe C
2 2 4 2
Direct
0.438 0.877 0.750 Ce
0.562 0.123 0.250 Ce
0.723 0.446 0.750 Al
0.277 0.554 0.250 Al
0.159 0.319 0.930 Fe
0.841 0.681 0.070 Fe
0.159 0.319 0.570 Fe
0.841 0.681 0.430 Fe
0.000 0.000 0.000 C
0.000 0.000 0.500 C
```

Final energy   -36.93 eV per formula unit
Magnetic moment   1.3 μB per cell

An optimized crystal structure of CeAlFeC. Source: Alexandria, functional PBE-GGA.

Cell and atoms, written as POSCAR:
```
CeAlFeC
1.0
2.986 0.000 0.000
0.000 4.197 0.000
0.000 -2.098 4.673
Ce Al Fe C
1 1 1 1
Direct
0.500 0.236 0.473 Ce
0.000 0.931 0.863 Al
0.500 0.559 0.117 Fe
0.000 0.704 0.408 C
```

Final energy   -27.24 eV per formula unit
Magnetic moment   0.8 μB per cell

An optimized crystal structure of CeHo2AlC. Source: Alexandria, functional PBE-GGA.

Cell and atoms, written as POSCAR:
```
CeHo2AlC
1.0
-2.569 1.158 -3.948
-4.145 -0.603 2.520
0.111 4.708 1.309
Ce Ho Al C
1 2 1 1
Direct
0.500 0.000 0.000 Ce
0.000 0.000 0.500 Ho
0.000 0.500 0.000 Ho
0.500 0.500 0.500 Al
0.000 0.000 0.000 C
```

Final energy   -29.51 eV per formula unit
Magnetic moment   0.3 μB per cell

An optimized crystal structure of CeAlRu2C. Source: Alexandria, functional PBE-GGA.

Cell and atoms, written as POSCAR:
```
CeAlRu2C
1.0
4.001 0.000 0.000
-2.000 5.668 0.000
0.000 0.000 7.192
Ce Al Ru C
2 2 4 2
Direct
0.444 0.888 0.750 Ce
0.556 0.112 0.250 Ce
0.725 0.450 0.750 Al
0.275 0.550 0.250 Al
0.161 0.323 0.943 Ru
0.839 0.677 0.057 Ru
0.161 0.323 0.557 Ru
0.839 0.677 0.443 Ru
0.000 0.000 0.000 C
0.000 0.000 0.500 C
```

Final energy   -39.40 eV per formula unit
Magnetic moment   0.3 μB per cell